Entry a
! CaTl3Sn3 | Alexandria via LeMat-Bulk | PBE | relaxed; values from VASP
! - Volume: 39.7 Å³ per atom
! - Calculated density: 6.04 g/cm³
&SYSTEM
  ibrav = 0, nat = 14, ntyp = 3
/
ATOMIC_SPECIES
Ca 40.08 Ca.upf
Tl 204.38 Tl.upf
Sn 118.71 Sn.upf
CELL_PARAMETERS angstrom
8.219 0.000 0.000
0.000 8.219 0.000
0.000 0.000 8.219
ATOMIC_POSITIONS crystal
Ca 0.000 0.000 0.000
Ca 0.500 0.500 0.500
Tl 0.000 0.250 0.500
Tl 0.000 0.750 0.500
Tl 0.250 0.500 0.000
Tl 0.500 0.000 0.250
Tl 0.500 0.000 0.750
Tl 0.750 0.500 0.000
Sn 0.000 0.500 0.250
Sn 0.000 0.500 0.750
Sn 0.250 0.000 0.500
Sn 0.500 0.250 0.000
Sn 0.500 0.750 0.000
Sn 0.750 0.000 0.500

***

Entry b
! CaTl3Sn3 | Alexandria via LeMat-Bulk | PBE | relaxed; values from VASP
! - Volume: 29.2 Å³ per atom
! - Calculated density: 8.20 g/cm³
&SYSTEM
  ibrav = 0, nat = 14, ntyp = 3
/
ATOMIC_SPECIES
Ca 40.08 Ca.upf
Tl 204.38 Tl.upf
Sn 118.71 Sn.upf
CELL_PARAMETERS angstrom
4.532 2.617 5.745
-4.532 2.617 5.745
0.000 -5.233 5.745
ATOMIC_POSITIONS crystal
Ca 0.241 0.241 0.241
Ca 0.759 0.759 0.759
Tl 0.176 0.608 0.462
Tl 0.392 0.538 0.824
Tl 0.462 0.176 0.608
Tl 0.538 0.824 0.392
Tl 0.608 0.462 0.176
Tl 0.824 0.392 0.538
Sn 0.028 0.305 0.895
Sn 0.105 0.972 0.695
Sn 0.305 0.895 0.028
Sn 0.695 0.105 0.972
Sn 0.895 0.028 0.305
Sn 0.972 0.695 0.105

***

Which is most stable, and by how much? entry b, by 43.2 kJ/mol of atoms.